Entry from Alexandria: a geometry-optimized CdNiP2O8 structure (PBE with a Hubbard U).

DFT total energy ... -5.937 eV per atom
Magnetic moment ... 8.086 μB/cell

Cell: 6.790 6.790 6.074 Å, 90.00 90.00 90.00°
Space group I-4m2 (No. 119)
Inequivalent atoms, fractional coordinates:
Cd1 0.000 0.000 0.000 (multiplicity 2)
Ni1 0.000 0.500 0.750 (multiplicity 2)
P1 0.000 0.000 0.500 (multiplicity 2)
P2 0.000 0.500 0.250 (multiplicity 2)
O1 0.000 0.182 0.656 (multiplicity 8)
O2 0.000 0.328 0.084 (multiplicity 8)